## GaTcN2 (PBE)

Data for GaTcN2 after structural relaxation.

Lattice parameters (Å, degrees): 5.5002 5.5002 5.5002 129.30 129.30 74.54
Fractional coordinates of all 8 atoms:
Ga (0.0000, 0.0000, 0.0000)
Ga (0.7500, 0.2500, 0.5000)
Tc (0.2500, 0.7500, 0.5000)
Tc (0.5000, 0.5000, 0.0000)
N (0.1166, 0.6250, 0.9916)
N (0.3750, 0.3666, 0.4916)
N (0.6334, 0.1250, 0.0084)
N (0.8750, 0.8834, 0.5084)

Properties
**Energy relative to the elements, uncorrected**: 0.1637 eV per atom
**N(E_F)**: 5.14 states/eV per cell
**Symmetry**: I-42d (122)

=====

## Ce3BiOs (PBE)

Data for Ce3BiOs after structural relaxation.

Lattice parameters (Å, degrees): 6.5513 6.5513 9.7415 111.85 111.85 48.17
Fractional coordinates of all 10 atoms:
Ce (0.1034, 0.1034, 0.1388)
Ce (0.1428, 0.1428, 0.7511)
Ce (0.3681, 0.3681, 0.5574)
Ce (0.6319, 0.6319, 0.4426)
Ce (0.8572, 0.8572, 0.2489)
Ce (0.8966, 0.8966, 0.8612)
Bi (0.3951, 0.3951, 0.0838)
Bi (0.6049, 0.6049, 0.9162)
Os (0.1017, 0.1017, 0.4385)
Os (0.8983, 0.8983, 0.5615)

Properties
**Energy of formation from the pure elements**: -328.5 meV per atom
**Relative energy among the computed polymorphs**: 113 meV per atom
**N(E_F)**: 24.73 states/eV per cell
**Symmetry**: C2/m (12)

=====

## RbNa2AgF8 (PBE)

Data for RbNa2AgF8 after structural relaxation.

Lattice parameters (Å, degrees): 4.8694 5.1463 7.8460 94.33 99.06 90.79
Fractional coordinates of all 12 atoms:
Rb (0.0000, 0.0000, 0.0000)
Na (0.4541, 0.4858, 0.7236)
Na (0.5459, 0.5142, 0.2764)
Ag (0.0000, 0.0000, 0.5000)
F (0.1545, 0.7752, 0.3268)
F (0.2366, 0.2956, 0.4606)
F (0.2960, 0.4887, 0.9968)
F (0.3034, 0.9087, 0.7185)
F (0.6966, 0.0913, 0.2815)
F (0.7040, 0.5113, 0.0032)
F (0.7634, 0.7044, 0.5394)
F (0.8455, 0.2248, 0.6732)

Properties
**Energy relative to the elements, uncorrected**: -1.7644 eV per atom
**N(E_F)**: 1.18 states/eV per cell
**Symmetry**: P-1 (2)